# Nd7YHo2 | the Alexandria database | PBE-GGA | relaxed
data_Nd7YHo2
_chemical_formula_sum 'Nd7 Y1 Ho2'
_space_group_name_H-M_alt 'P -1'
_space_group_IT_number 2
_cell_length_a 6.2865
_cell_length_b 6.3059
_cell_length_c 9.6307
_cell_angle_alpha 102.64
_cell_angle_beta 108.90
_cell_angle_gamma 99.60
loop_
_space_group_symop_operation_xyz
'x,y,z'
'-x,-y,-z'
loop_
_atom_site_label
_atom_site_type_symbol
_atom_site_fract_x
_atom_site_fract_y
_atom_site_fract_z
Nd1 Nd 0.0000 0.0000 0.0000
Nd2 Nd 0.1993 0.5975 0.1988
Nd3 Nd 0.2009 0.1011 0.7019
Nd4 Nd 0.4019 0.2001 0.3989
Y1 Y 0.0000 0.5000 0.5000
Ho1 Ho 0.4013 0.7007 0.9015
# Energy relative to the elements = 15 meV per atom
# Total DFT energy (no corrections) = -0.179 hartree per atom
# Distance to the lowest polymorph of the same formula = 0 kJ/mol of formula units